# 1
Compound: KLi2ZrRe
Source: Alexandria via LeMat-Bulk
Functional: PBE
Structure: relaxed

Cell: 4.0891 4.0891 5.5154 Å, 90.00 90.00 90.00°
Space group P4/mmm (No. 123)
One atom of each set of equivalent atoms:
1 K 0.0000 0.0000 0.0000
2 Li 0.0000 0.5000 0.0000
3 Zr 0.0000 0.0000 0.5000
4 Re 0.5000 0.5000 0.5000

Summary:
The calculation puts the formation enthalpy at 0 K at 7.7 eV per formula unit. The calculated volume is 18.44 Å³ per atom. The calculation puts the size of the total moment at 0.0 μB/f.u. As for the energy above the most stable polymorph in this dataset: 0 meV/atom. The value obtained for the uncorrected energy is -3.651 eV per atom.

# 2
Compound: KLiRh
Source: Alexandria via LeMat-Bulk
Functional: PBE
Structure: relaxed

Cell: 5.1044 5.1044 2.7201 Å, 90.00 90.00 120.00°
Space group P3m1 (No. 156)
One atom of each set of equivalent atoms:
1 K 0.0000 0.0000 0.0000
2 Li 0.6667 0.3333 0.1640
3 Rh 0.3333 0.6667 0.5503

Summary:
The calculation puts the formation enthalpy at 0 K at 1.4 eV per formula unit. The calculated volume is 20.46 Å³ per atom. The calculation puts the size of the total moment at 0.0 μB/f.u. As for the energy above the most stable polymorph in this dataset: 136 meV/atom. The value obtained for the uncorrected energy is -3.002 eV per atom.

# 3
Compound: KLiRh2
Source: Alexandria via LeMat-Bulk
Functional: PBE
Structure: relaxed

Cell: 2.8130 5.3884 10.4460 Å, 90.00 90.00 90.00°
Space group Imm2 (No. 44)
One atom of each set of equivalent atoms:
1 K 0.0000 0.0000 0.0000
2 Li 0.0000 0.5000 0.7874
3 Rh 0.0000 0.0000 0.5138
4 Rh 0.0000 0.5000 0.2155

Summary:
The calculation puts the formation enthalpy at 0 K at 2.0 eV per formula unit. The calculated volume is 19.79 Å³ per atom. The calculation puts the size of the total moment at 0.7 μB/f.u. As for the energy above the most stable polymorph in this dataset: 286 meV/atom. The value obtained for the uncorrected energy is -3.922 eV per atom.

# 4
Compound: KLiRh2
Source: Alexandria via LeMat-Bulk
Functional: PBE
Structure: relaxed

Cell: 3.8379 3.8379 9.8071 Å, 90.00 90.00 90.00°
Space group I4/mmm (No. 139)
One atom of each set of equivalent atoms:
1 K 0.0000 0.0000 0.0000
2 Li 0.0000 0.0000 0.5000
3 Rh 0.0000 0.5000 0.2500

Summary:
The calculation puts the formation enthalpy at 0 K at 2.2 eV per formula unit. The calculated volume is 18.06 Å³ per atom. The calculation puts the size of the total moment at 1.3 μB/f.u. As for the energy above the most stable polymorph in this dataset: 340 meV/atom. The value obtained for the uncorrected energy is -3.869 eV per atom.

# 5
Compound: KLiRh2
Source: Alexandria via LeMat-Bulk
Functional: PBE
Structure: relaxed

Cell: 6.5702 6.5702 6.5702 Å, 90.00 90.00 90.00°
Space group Fm-3m (No. 225)
One atom of each set of equivalent atoms:
1 K 0.0000 0.0000 0.0000
2 Li 0.0000 0.0000 0.5000
3 Rh 0.2500 0.2500 0.2500

Summary:
The calculation puts the formation enthalpy at 0 K at 3.4 eV per formula unit. The calculated volume is 17.73 Å³ per atom. The calculation puts the size of the total moment at 0.4 μB/f.u. As for the energy above the most stable polymorph in this dataset: 638 meV/atom. The value obtained for the uncorrected energy is -3.571 eV per atom.

# 6
Compound: KLiRh2
Source: Alexandria via LeMat-Bulk
Functional: PBE
Structure: relaxed

Cell: 8.8269 2.8503 6.5292 Å, 90.00 95.75 90.00°
Space group Cm (No. 8)
One atom of each set of equivalent atoms:
1 K 0.0000 0.0000 0.0000
2 Li 0.2256 0.0000 0.6558
3 Rh 0.2614 0.5000 0.3518
4 Rh 0.4988 0.0000 0.4623

Summary:
The calculation puts the formation enthalpy at 0 K at 1.0 eV per formula unit. The calculated volume is 20.43 Å³ per atom. The calculation puts the size of the total moment at 0.0 μB/f.u. As for the energy above the most stable polymorph in this dataset: 26 meV/atom. The value obtained for the uncorrected energy is -4.182 eV per atom.

# 7
Compound: K4LiRh
Source: Alexandria via LeMat-Bulk
Functional: PBE
Structure: relaxed

Cell: 9.8385 9.8385 9.8385 Å, 90.00 90.00 90.00°
Space group F-43m (No. 216)
One atom of each set of equivalent atoms:
1 K 0.1234 0.1234 0.3766
2 Li 0.0000 0.0000 0.0000
3 Rh 0.2500 0.2500 0.7500

Summary:
The calculation puts the formation enthalpy at 0 K at 4.5 eV per formula unit. The calculated volume is 39.68 Å³ per atom. The calculation puts the size of the total moment at 0.0 μB/f.u. The value obtained for the uncorrected energy is -1.530 eV per atom.

# 8
Compound: KLiRh2
Source: Alexandria via LeMat-Bulk
Functional: PBE
Structure: relaxed

Cell: 5.3463 5.3463 2.6744 Å, 90.00 90.00 90.00°
Space group P4/mmm (No. 123)
One atom of each set of equivalent atoms:
1 K 0.0000 0.0000 0.0000
2 Li 0.5000 0.5000 0.0000
3 Rh 0.0000 0.5000 0.5000

Summary:
The calculation puts the formation enthalpy at 0 K at 3.2 eV per formula unit. The calculated volume is 19.11 Å³ per atom. The calculation puts the size of the total moment at 1.4 μB/f.u. As for the energy above the most stable polymorph in this dataset: 579 meV/atom. The value obtained for the uncorrected energy is -3.630 eV per atom.

# 9
Compound: K2LiRh2
Source: Alexandria via LeMat-Bulk
Functional: PBE
Structure: relaxed

Cell: 4.5860 4.5860 13.9605 Å, 90.00 90.00 90.00°
Space group I4/mmm (No. 139)
One atom of each set of equivalent atoms:
1 K 0.0000 0.5000 0.2500
2 Li 0.0000 0.0000 0.0000
3 Rh 0.0000 0.0000 0.4156

Summary:
The calculation puts the formation enthalpy at 0 K at 4.8 eV per formula unit. The calculated volume is 29.36 Å³ per atom. The calculation puts the size of the total moment at 2.4 μB/f.u. As for the energy above the most stable polymorph in this dataset: 264 meV/atom. The value obtained for the uncorrected energy is -2.793 eV per atom.

# 10
Compound: KLiRh3
Source: Alexandria via LeMat-Bulk
Functional: PBE
Structure: relaxed

Cell: 4.4275 4.4275 4.4275 Å, 90.00 90.00 90.00°
Space group Pm-3m (No. 221)
One atom of each set of equivalent atoms:
1 K 0.0000 0.0000 0.0000
2 Li 0.5000 0.5000 0.5000
3 Rh 0.0000 0.5000 0.5000

Summary:
The calculation puts the formation enthalpy at 0 K at 4.7 eV per formula unit. The calculated volume is 17.36 Å³ per atom. The calculation puts the size of the total moment at 0.0 μB/f.u. As for the energy above the most stable polymorph in this dataset: 0 meV/atom. The value obtained for the uncorrected energy is -4.071 eV per atom.

# 11
Compound: KLi2Rh2
Source: Alexandria via LeMat-Bulk
Functional: PBE
Structure: relaxed

Cell: 8.1383 8.1383 2.6896 Å, 90.00 90.00 90.00°
Space group P4/mbm (No. 127)
One atom of each set of equivalent atoms:
1 K 0.0000 0.0000 0.0000
2 Li 0.1681 0.3319 0.5000
3 Rh 0.1108 0.6108 0.0000

Summary:
The calculation puts the formation enthalpy at 0 K at 1.0 eV per formula unit. The calculated volume is 17.81 Å³ per atom. The calculation puts the size of the total moment at 0.0 μB/f.u. The value obtained for the uncorrected energy is -3.734 eV per atom.

# 12
Compound: KLiRh2
Source: Alexandria via LeMat-Bulk
Functional: PBE
Structure: relaxed

Cell: 2.8462 3.9125 7.7168 Å, 90.00 90.00 90.00°
Space group Pmm2 (No. 25)
One atom of each set of equivalent atoms:
1 K 0.0000 0.0000 0.0000
2 Li 0.5000 0.5000 0.3766
3 Rh 0.0000 0.0000 0.5709
4 Rh 0.5000 0.5000 0.6886

Summary:
The calculation puts the formation enthalpy at 0 K at 0.9 eV per formula unit. The calculated volume is 21.48 Å³ per atom. The calculation puts the size of the total moment at 0.0 μB/f.u. As for the energy above the most stable polymorph in this dataset: 0 meV/atom. The value obtained for the uncorrected energy is -4.209 eV per atom.

# 13
Compound: KLiRh2
Source: Alexandria via LeMat-Bulk
Functional: PBE
Structure: relaxed

Cell: 4.7115 4.7115 18.3496 Å, 90.00 90.00 90.00°
Space group I-42d (No. 122)
One atom of each set of equivalent atoms:
1 K 0.0000 0.0000 0.0000
2 Li 0.0000 0.0000 0.5000
3 Rh 0.0284 0.2500 0.6250

Summary:
The calculation puts the formation enthalpy at 0 K at 2.5 eV per formula unit. The calculated volume is 25.46 Å³ per atom. The calculation puts the size of the total moment at 0.0 μB/f.u. As for the energy above the most stable polymorph in this dataset: 412 meV/atom. The value obtained for the uncorrected energy is -3.796 eV per atom.

# 14
Compound: KLiRh
Source: Alexandria via LeMat-Bulk
Functional: PBE
Structure: relaxed

Cell: 6.8392 6.8392 6.8392 Å, 90.00 90.00 90.00°
Space group F-43m (No. 216)
One atom of each set of equivalent atoms:
1 K 0.0000 0.0000 0.0000
2 Li 0.2500 0.2500 0.7500
3 Rh 0.2500 0.2500 0.2500

Summary:
The calculation puts the formation enthalpy at 0 K at 3.3 eV per formula unit. The calculated volume is 26.66 Å³ per atom. The calculation puts the size of the total moment at 0.6 μB/f.u. As for the energy above the most stable polymorph in this dataset: 774 meV/atom. The value obtained for the uncorrected energy is -2.365 eV per atom.

# 15
Compound: KLiRh2
Source: Alexandria via LeMat-Bulk
Functional: PBE
Structure: relaxed

Cell: 2.7842 4.8659 5.3257 Å, 90.00 102.04 90.00°
Space group P2/m (No. 10)
One atom of each set of equivalent atoms:
1 K 0.0000 0.0000 0.0000
2 Li 0.5000 0.0000 0.5000
3 Rh 0.3350 0.5000 0.7129

Summary:
The calculation puts the formation enthalpy at 0 K at 1.6 eV per formula unit. The calculated volume is 17.64 Å³ per atom. The calculation puts the size of the total moment at 0.0 μB/f.u. As for the energy above the most stable polymorph in this dataset: 192 meV/atom. The value obtained for the uncorrected energy is -4.017 eV per atom.